{"formula": "VTcCl", "functional": "PBE-GGA", "state": "optimized geometry", "cell": [[2.941, 0.003, -0.008], [1.321, 2.628, -0.008], [0.059, 0.096, 12.992]], "species": ["Tc", "Tc", "V", "V", "Cl", "Cl"], "fractional_positions": [[0.667, 0.664, 0.082], [0.333, 0.336, 0.918], [0.156, 0.148, 0.228], [0.844, 0.852, 0.772], [0.172, 0.184, 0.644], [0.828, 0.816, 0.356]], "e_form_raw_ev_per_atom": -0.419}

***

{"formula": "HfBeCrPt2", "functional": "PBE-GGA", "state": "optimized geometry", "cell": [[-0.300, -4.526, 0.795], [-0.462, -0.661, -3.936], [4.565, -0.386, -0.470]], "species": ["Hf", "Pt", "Pt", "Be", "Cr"], "fractional_positions": [[0.500, 0.500, 0.500], [0.000, 0.000, 0.500], [0.500, 0.000, 0.000], [0.000, 0.500, 0.000], [0.000, 0.000, 0.000]], "ef_ev_per_fu": 1.9}

***

{"formula": "PaB6Mo2", "functional": "PBE-GGA", "state": "optimized geometry", "cell": [[-3.017, -0.861, 0.254], [-1.453, -2.167, -5.102], [0.035, -5.699, 0.601]], "species": ["B", "B", "B", "B", "B", "B", "Pa", "Mo", "Mo"], "fractional_positions": [[0.307, 0.451, 0.935], [0.500, 0.666, 0.334], [0.307, 0.935, 0.451], [0.693, 0.065, 0.549], [0.693, 0.549, 0.065], [0.500, 0.334, 0.666], [0.000, 0.000, 0.000], [0.156, 0.344, 0.344], [0.844, 0.656, 0.656]], "ef_ev_per_fu": -4.8}